1.
# Li5Tl8Cd, optimized geometry, DFT PBE-GGA
data_Li5Tl8Cd
_chemical_formula_sum 'Li5 Tl8 Cd1'
_symmetry_space_group_name_H-M 'P 1'
_symmetry_Int_Tables_number 1
_cell_length_a 7.6287
_cell_length_b 7.6287
_cell_length_c 7.6287
_cell_angle_alpha 111.51
_cell_angle_beta 111.51
_cell_angle_gamma 105.46
loop_
_symmetry_equiv_pos_as_xyz
'x,y,z'
loop_
_atom_site_label
_atom_site_type_symbol
_atom_site_fract_x
_atom_site_fract_y
_atom_site_fract_z
_atom_site_occupancy
Li1 Li 0.0000 0.0000 0.0000 1
Li2 Li 0.1974 0.2950 0.6603 1
Li3 Li 0.4629 0.8026 0.0976 1
Li4 Li 0.6347 0.5371 0.3397 1
Li5 Li 0.7050 0.3653 0.9024 1
Tl1 Tl 0.1715 0.4311 0.0727 1
Tl2 Tl 0.3584 0.0988 0.9273 1
Tl3 Tl 0.4038 0.1473 0.3942 1
Tl4 Tl 0.5689 0.6416 0.7404 1
Tl5 Tl 0.7531 0.0096 0.6058 1
Tl6 Tl 0.8527 0.2469 0.2565 1
Tl7 Tl 0.9012 0.8285 0.2596 1
Tl8 Tl 0.9904 0.5962 0.7435 1
Cd1 Cd 0.2500 0.7500 0.5000 1
# - Mass density: 8691 kg/m³
# - Uncorrected energy: -30.7 eV/f.u.
# - ΔH_f (0 K): -0.0948 eV per atom
# - Crystal system: tetragonal
# - D(E_F): 0.326 states/eV per atom

---

2.
# Li9Tl2Cd3, optimized geometry, DFT PBE-GGA
data_Li9Tl2Cd3
_chemical_formula_sum 'Li9 Tl2 Cd3'
_symmetry_space_group_name_H-M 'P 1'
_symmetry_Int_Tables_number 1
_cell_length_a 8.1201
_cell_length_b 8.1201
_cell_length_c 8.1201
_cell_angle_alpha 145.40
_cell_angle_beta 114.75
_cell_angle_gamma 76.00
loop_
_symmetry_equiv_pos_as_xyz
'x,y,z'
loop_
_atom_site_label
_atom_site_type_symbol
_atom_site_fract_x
_atom_site_fract_y
_atom_site_fract_z
_atom_site_occupancy
Li1 Li 0.0000 0.0000 0.0000 1
Li2 Li 0.1299 0.2902 0.8397 1
Li3 Li 0.2334 0.8974 0.3359 1
Li4 Li 0.4385 0.1026 0.3359 1
Li5 Li 0.4504 0.2902 0.1603 1
Li6 Li 0.5496 0.7098 0.8397 1
Li7 Li 0.5615 0.8974 0.6641 1
Li8 Li 0.7666 0.1026 0.6641 1
Li9 Li 0.8701 0.7098 0.1603 1
Tl1 Tl 0.2023 0.7023 0.5000 1
Tl2 Tl 0.7977 0.2977 0.5000 1
Cd1 Cd 0.1791 0.5000 0.6791 1
Cd2 Cd 0.5000 0.5000 0.0000 1
Cd3 Cd 0.8209 0.5000 0.3209 1
# - Mass density: 4962 kg/m³
# - Uncorrected energy: -27.1 eV/f.u.
# - ΔH_f (0 K): -0.1712 eV per atom
# - Crystal system: orthorhombic
# - D(E_F): 0.392 states/eV per atom

---

3.
# LiTlCd2, optimized geometry, DFT PBE-GGA
data_LiTlCd2
_chemical_formula_sum 'Li4 Tl4 Cd8'
_symmetry_space_group_name_H-M 'P 1'
_symmetry_Int_Tables_number 1
_cell_length_a 7.1312
_cell_length_b 7.1312
_cell_length_c 7.1312
_cell_angle_alpha 90.00
_cell_angle_beta 90.00
_cell_angle_gamma 90.00
loop_
_symmetry_equiv_pos_as_xyz
'x,y,z'
loop_
_atom_site_label
_atom_site_type_symbol
_atom_site_fract_x
_atom_site_fract_y
_atom_site_fract_z
_atom_site_occupancy
Li1 Li 0.0000 0.0000 0.0000 1
Li2 Li 0.0000 0.5000 0.5000 1
Li3 Li 0.5000 0.0000 0.5000 1
Li4 Li 0.5000 0.5000 0.0000 1
Tl1 Tl 0.2500 0.2500 0.2500 1
Tl2 Tl 0.2500 0.7500 0.7500 1
Tl3 Tl 0.7500 0.2500 0.7500 1
Tl4 Tl 0.7500 0.7500 0.2500 1
Cd1 Cd 0.0000 0.0000 0.5000 1
Cd2 Cd 0.0000 0.5000 0.0000 1
Cd3 Cd 0.2500 0.2500 0.7500 1
Cd4 Cd 0.2500 0.7500 0.2500 1
Cd5 Cd 0.5000 0.0000 0.0000 1
Cd6 Cd 0.5000 0.5000 0.5000 1
Cd7 Cd 0.7500 0.2500 0.2500 1
Cd8 Cd 0.7500 0.7500 0.7500 1
# - Mass density: 7988 kg/m³
# - Uncorrected energy: -6.5 eV/f.u.
# - ΔH_f (0 K): -0.0905 eV per atom
# - Crystal system: cubic
# - D(E_F): 0.463 states/eV per atom

---

4.
# LiTlCd, optimized geometry, DFT PBE-GGA
data_LiTlCd
_chemical_formula_sum 'Li2 Tl2 Cd2'
_symmetry_space_group_name_H-M 'P 1'
_symmetry_Int_Tables_number 1
_cell_length_a 3.1867
_cell_length_b 3.1867
_cell_length_c 13.3039
_cell_angle_alpha 90.00
_cell_angle_beta 90.00
_cell_angle_gamma 90.00
loop_
_symmetry_equiv_pos_as_xyz
'x,y,z'
loop_
_atom_site_label
_atom_site_type_symbol
_atom_site_fract_x
_atom_site_fract_y
_atom_site_fract_z
_atom_site_occupancy
Li1 Li 0.0000 0.0000 0.0000 1
Li2 Li 0.5000 0.5000 0.5000 1
Tl1 Tl 0.0000 0.0000 0.3358 1
Tl2 Tl 0.5000 0.5000 0.8358 1
Cd1 Cd 0.0000 0.0000 0.6403 1
Cd2 Cd 0.5000 0.5000 0.1403 1
# - Mass density: 7958 kg/m³
# - Uncorrected energy: -5.6 eV/f.u.
# - ΔH_f (0 K): -0.1216 eV per atom
# - Crystal system: tetragonal
# - D(E_F): 0.356 states/eV per atom
# - Excess energy over the best structure of this formula in the dataset: 5 meV per atom

---

5.
# Li2TlCd, optimized geometry, DFT PBE-GGA
data_Li2TlCd
_chemical_formula_sum 'Li8 Tl4 Cd4'
_symmetry_space_group_name_H-M 'P 1'
_symmetry_Int_Tables_number 1
_cell_length_a 7.6248
_cell_length_b 7.6248
_cell_length_c 6.1570
_cell_angle_alpha 90.00
_cell_angle_beta 90.00
_cell_angle_gamma 90.00
loop_
_symmetry_equiv_pos_as_xyz
'x,y,z'
loop_
_atom_site_label
_atom_site_type_symbol
_atom_site_fract_x
_atom_site_fract_y
_atom_site_fract_z
_atom_site_occupancy
Li1 Li 0.2457 0.2500 0.1250 1
Li2 Li 0.2500 0.7457 0.3750 1
Li3 Li 0.2500 0.7543 0.8750 1
Li4 Li 0.2543 0.2500 0.6250 1
Li5 Li 0.7457 0.7500 0.6250 1
Li6 Li 0.7500 0.2457 0.8750 1
Li7 Li 0.7500 0.2543 0.3750 1
Li8 Li 0.7543 0.7500 0.1250 1
Tl1 Tl 0.0000 0.0000 0.5000 1
Tl2 Tl 0.0000 0.5000 0.7500 1
Tl3 Tl 0.5000 0.0000 0.2500 1
Tl4 Tl 0.5000 0.5000 0.0000 1
Cd1 Cd 0.0000 0.0000 0.0000 1
Cd2 Cd 0.0000 0.5000 0.2500 1
Cd3 Cd 0.5000 0.0000 0.7500 1
Cd4 Cd 0.5000 0.5000 0.5000 1
# - Mass density: 6136 kg/m³
# - Uncorrected energy: -7.3 eV/f.u.
# - ΔH_f (0 K): -0.0577 eV per atom
# - Crystal system: tetragonal
# - D(E_F): 0.322 states/eV per atom

---

6.
# Li6Tl3Cd, optimized geometry, DFT PBE-GGA
data_Li6Tl3Cd
_chemical_formula_sum 'Li12 Tl6 Cd2'
_symmetry_space_group_name_H-M 'P 1'
_symmetry_Int_Tables_number 1
_cell_length_a 8.3239
_cell_length_b 4.8015
_cell_length_c 10.2154
_cell_angle_alpha 90.00
_cell_angle_beta 106.23
_cell_angle_gamma 90.00
loop_
_symmetry_equiv_pos_as_xyz
'x,y,z'
loop_
_atom_site_label
_atom_site_type_symbol
_atom_site_fract_x
_atom_site_fract_y
_atom_site_fract_z
_atom_site_occupancy
Li1 Li 0.0466 0.2500 0.4048 1
Li2 Li 0.1550 0.7500 0.1973 1
Li3 Li 0.2545 0.2500 0.0010 1
Li4 Li 0.3503 0.2500 0.3025 1
Li5 Li 0.3502 0.7500 0.7997 1
Li6 Li 0.4456 0.2500 0.6100 1
Li7 Li 0.5544 0.7500 0.3900 1
Li8 Li 0.6498 0.2500 0.2003 1
Li9 Li 0.6497 0.7500 0.6975 1
Li10 Li 0.7455 0.7500 0.9990 1
Li11 Li 0.8450 0.2500 0.8027 1
Li12 Li 0.9534 0.7500 0.5952 1
Tl1 Tl 0.0410 0.7500 0.8963 1
Tl2 Tl 0.1493 0.2500 0.7013 1
Tl3 Tl 0.2689 0.7500 0.4917 1
Tl4 Tl 0.7311 0.2500 0.5083 1
Tl5 Tl 0.8507 0.7500 0.2987 1
Tl6 Tl 0.9590 0.2500 0.1037 1
Cd1 Cd 0.4467 0.7500 0.0938 1
Cd2 Cd 0.5533 0.2500 0.9062 1
# - Mass density: 6500 kg/m³
# - Uncorrected energy: -21.7 eV/f.u.
# - ΔH_f (0 K): -0.2250 eV per atom
# - Crystal system: monoclinic
# - D(E_F): 0.368 states/eV per atom
# - Excess energy over the best structure of this formula in the dataset: 0 meV per atom

---

7.
# Li6TlCd, optimized geometry, DFT PBE-GGA
data_Li6TlCd
_chemical_formula_sum 'Li6 Tl1 Cd1'
_symmetry_space_group_name_H-M 'P 1'
_symmetry_Int_Tables_number 1
_cell_length_a 5.9440
_cell_length_b 5.9440
_cell_length_c 4.9213
_cell_angle_alpha 90.00
_cell_angle_beta 90.00
_cell_angle_gamma 120.00
loop_
_symmetry_equiv_pos_as_xyz
'x,y,z'
loop_
_atom_site_label
_atom_site_type_symbol
_atom_site_fract_x
_atom_site_fract_y
_atom_site_fract_z
_atom_site_occupancy
Li1 Li 0.0066 0.5033 0.0000 1
Li2 Li 0.3294 0.1647 0.5000 1
Li3 Li 0.4967 0.5033 0.0000 1
Li4 Li 0.4967 0.9934 0.0000 1
Li5 Li 0.8353 0.1647 0.5000 1
Li6 Li 0.8353 0.6706 0.5000 1
Tl1 Tl 0.3333 0.6667 0.5000 1
Cd1 Cd 0.0000 0.0000 0.0000 1
# - Mass density: 3952 kg/m³
# - Uncorrected energy: -16.3 eV/f.u.
# - ΔH_f (0 K): -0.1865 eV per atom
# - Crystal system: hexagonal
# - D(E_F): 0.346 states/eV per atom

---

8.
# Li3TlCd, optimized geometry, DFT PBE-GGA
data_Li3TlCd
_chemical_formula_sum 'Li6 Tl2 Cd2'
_symmetry_space_group_name_H-M 'P 1'
_symmetry_Int_Tables_number 1
_cell_length_a 7.6164
_cell_length_b 7.6164
_cell_length_c 5.7967
_cell_angle_alpha 100.25
_cell_angle_beta 100.25
_cell_angle_gamma 35.99
loop_
_symmetry_equiv_pos_as_xyz
'x,y,z'
loop_
_atom_site_label
_atom_site_type_symbol
_atom_site_fract_x
_atom_site_fract_y
_atom_site_fract_z
_atom_site_occupancy
Li1 Li 0.0010 0.0010 0.2441 1
Li2 Li 0.2016 0.2016 0.8071 1
Li3 Li 0.3970 0.3970 0.5382 1
Li4 Li 0.6030 0.6030 0.4618 1
Li5 Li 0.7984 0.7984 0.1929 1
Li6 Li 0.9990 0.9990 0.7559 1
Tl1 Tl 0.3966 0.3966 0.0451 1
Tl2 Tl 0.6034 0.6034 0.9549 1
Cd1 Cd 0.1983 0.1983 0.3150 1
Cd2 Cd 0.8017 0.8017 0.6850 1
# - Mass density: 5777 kg/m³
# - Uncorrected energy: -10.0 eV/f.u.
# - ΔH_f (0 K): -0.2054 eV per atom
# - Crystal system: monoclinic
# - D(E_F): 0.310 states/eV per atom
# - Excess energy over the best structure of this formula in the dataset: 0 meV per atom

---

9.
# Li7Tl2Cd, optimized geometry, DFT PBE-GGA
data_Li7Tl2Cd
_chemical_formula_sum 'Li7 Tl2 Cd1'
_symmetry_space_group_name_H-M 'P 1'
_symmetry_Int_Tables_number 1
_cell_length_a 4.7193
_cell_length_b 4.7193
_cell_length_c 10.0687
_cell_angle_alpha 90.00
_cell_angle_beta 90.00
_cell_angle_gamma 120.00
loop_
_symmetry_equiv_pos_as_xyz
'x,y,z'
loop_
_atom_site_label
_atom_site_type_symbol
_atom_site_fract_x
_atom_site_fract_y
_atom_site_fract_z
_atom_site_occupancy
Li1 Li 0.0000 0.0000 0.0000 1
Li2 Li 0.0000 0.0000 0.2368 1
Li3 Li 0.0000 0.0000 0.7610 1
Li4 Li 0.3333 0.6667 0.4031 1
Li5 Li 0.3333 0.6667 0.7807 1
Li6 Li 0.6667 0.3333 0.2430 1
Li7 Li 0.6667 0.3333 0.6097 1
Tl1 Tl 0.0000 0.0000 0.4986 1
Tl2 Tl 0.3333 0.6667 0.0947 1
Cd1 Cd 0.6667 0.3333 0.9167 1
# - Mass density: 4872 kg/m³
# - Uncorrected energy: -20.4 eV/f.u.
# - ΔH_f (0 K): -0.1405 eV per atom
# - Crystal system: trigonal
# - D(E_F): 0.287 states/eV per atom
# - Excess energy over the best structure of this formula in the dataset: 0 meV per atom

---

10.
# Li2TlCd, optimized geometry, DFT PBE-GGA
data_Li2TlCd
_chemical_formula_sum 'Li8 Tl4 Cd4'
_symmetry_space_group_name_H-M 'P 1'
_symmetry_Int_Tables_number 1
_cell_length_a 6.8831
_cell_length_b 6.8831
_cell_length_c 6.8831
_cell_angle_alpha 90.00
_cell_angle_beta 90.00
_cell_angle_gamma 90.00
loop_
_symmetry_equiv_pos_as_xyz
'x,y,z'
loop_
_atom_site_label
_atom_site_type_symbol
_atom_site_fract_x
_atom_site_fract_y
_atom_site_fract_z
_atom_site_occupancy
Li1 Li 0.0000 0.0000 0.0000 1
Li2 Li 0.0000 0.5000 0.5000 1
Li3 Li 0.2500 0.2500 0.2500 1
Li4 Li 0.2500 0.7500 0.7500 1
Li5 Li 0.5000 0.0000 0.5000 1
Li6 Li 0.5000 0.5000 0.0000 1
Li7 Li 0.7500 0.2500 0.7500 1
Li8 Li 0.7500 0.7500 0.2500 1
Tl1 Tl 0.2500 0.2500 0.7500 1
Tl2 Tl 0.2500 0.7500 0.2500 1
Tl3 Tl 0.7500 0.2500 0.2500 1
Tl4 Tl 0.7500 0.7500 0.7500 1
Cd1 Cd 0.0000 0.0000 0.5000 1
Cd2 Cd 0.0000 0.5000 0.0000 1
Cd3 Cd 0.5000 0.0000 0.0000 1
Cd4 Cd 0.5000 0.5000 0.5000 1
# - Mass density: 6735 kg/m³
# - Uncorrected energy: -8.0 eV/f.u.
# - ΔH_f (0 K): -0.2328 eV per atom
# - Crystal system: cubic
# - D(E_F): 0.286 states/eV per atom

---

11.
# Li5TlCd6, optimized geometry, DFT PBE-GGA
data_Li5TlCd6
_chemical_formula_sum 'Li5 Tl1 Cd6'
_symmetry_space_group_name_H-M 'P 1'
_symmetry_Int_Tables_number 1
_cell_length_a 8.1255
_cell_length_b 8.1255
_cell_length_c 4.7119
_cell_angle_alpha 105.10
_cell_angle_beta 105.10
_cell_angle_gamma 52.34
loop_
_symmetry_equiv_pos_as_xyz
'x,y,z'
loop_
_atom_site_label
_atom_site_type_symbol
_atom_site_fract_x
_atom_site_fract_y
_atom_site_fract_z
_atom_site_occupancy
Li1 Li 0.0000 0.0000 0.0000 1
Li2 Li 0.1720 0.1720 0.6749 1
Li3 Li 0.3478 0.3478 0.3462 1
Li4 Li 0.6522 0.6522 0.6538 1
Li5 Li 0.8280 0.8280 0.3251 1
Tl1 Tl 0.5000 0.5000 0.0000 1
Cd1 Cd 0.0502 0.5965 0.8200 1
Cd2 Cd 0.2133 0.7867 0.5000 1
Cd3 Cd 0.4035 0.9498 0.1800 1
Cd4 Cd 0.5965 0.0502 0.8200 1
Cd5 Cd 0.7867 0.2133 0.5000 1
Cd6 Cd 0.9498 0.4035 0.1800 1
# - Mass density: 6437 kg/m³
# - Uncorrected energy: -19.8 eV/f.u.
# - ΔH_f (0 K): -0.2004 eV per atom
# - Crystal system: monoclinic
# - D(E_F): 0.237 states/eV per atom

---

12.
# LiTlCd6, optimized geometry, DFT PBE-GGA
data_LiTlCd6
_chemical_formula_sum 'Li1 Tl1 Cd6'
_symmetry_space_group_name_H-M 'P 1'
_symmetry_Int_Tables_number 1
_cell_length_a 4.4263
_cell_length_b 4.4263
_cell_length_c 9.3516
_cell_angle_alpha 90.00
_cell_angle_beta 90.00
_cell_angle_gamma 90.00
loop_
_symmetry_equiv_pos_as_xyz
'x,y,z'
loop_
_atom_site_label
_atom_site_type_symbol
_atom_site_fract_x
_atom_site_fract_y
_atom_site_fract_z
_atom_site_occupancy
Li1 Li 0.0000 0.0000 0.0000 1
Tl1 Tl 0.0000 0.0000 0.5000 1
Cd1 Cd 0.0000 0.5000 0.2293 1
Cd2 Cd 0.0000 0.5000 0.7707 1
Cd3 Cd 0.5000 0.0000 0.2293 1
Cd4 Cd 0.5000 0.0000 0.7707 1
Cd5 Cd 0.5000 0.5000 0.0000 1
Cd6 Cd 0.5000 0.5000 0.5000 1
# - Mass density: 8028 kg/m³
# - Uncorrected energy: -10.1 eV/f.u.
# - ΔH_f (0 K): -0.0370 eV per atom
# - Crystal system: tetragonal
# - D(E_F): 0.456 states/eV per atom

---

> Among the records above, which one has the highest mass density?

Li5Tl8Cd